# 1
DFT (PBE) results for CePrErAl after structural relaxation.

a b c (Å): 7.6530 7.6530 7.6530
angles (deg): 90.00 90.00 90.00
With the nearest neighbours (Å) after each atom.
Space group F-43m (No. 216)
Symmetry-distinct sites (fractional):
Ce 0.0000 0.0000 0.0000  4 Er 3.31, 4 Al 3.31
Pr 0.0000 0.0000 0.5000  4 Er 3.31, 4 Al 3.31
Er 0.2500 0.2500 0.7500  4 Ce 3.31, 4 Pr 3.31
Al 0.2500 0.2500 0.2500  4 Pr 3.31, 4 Ce 3.31

The total magnetization comes out at 0.2129 μB/atom. As for the crystal system: cubic. The density comes out at 7.04 g/cm3. The electronic total energy is -76.3 eV/cell.


# 2
DFT (PBE) results for CeErPuAl after structural relaxation.

a b c (Å): 7.3306 7.3306 7.3306
angles (deg): 90.00 90.00 90.00
With the nearest neighbours (Å) after each atom.
Space group F-43m (No. 216)
Symmetry-distinct sites (fractional):
Ce 0.0000 0.0000 0.0000  4 Er 3.17, 4 Pu 3.17
Er 0.2500 0.2500 0.2500  4 Ce 3.17, 4 Al 3.17
Pu 0.2500 0.2500 0.7500  4 Ce 3.17, 4 Al 3.17
Al 0.0000 0.0000 0.5000  4 Er 3.17, 4 Pu 3.17

The total magnetization comes out at 1.9971 μB/atom. As for the crystal system: cubic. The density comes out at 9.75 g/cm3. The electronic total energy is -114.5 eV/cell.


# 3
DFT (PBE) results for CeErAlRh after structural relaxation.

a b c (Å): 7.0819 7.0819 7.0819
angles (deg): 90.00 90.00 90.00
With the nearest neighbours (Å) after each atom.
Space group F-43m (No. 216)
Symmetry-distinct sites (fractional):
Ce 0.0000 0.0000 0.0000  4 Al 3.07, 4 Rh 3.07
Er 0.0000 0.0000 0.5000  4 Rh 3.07, 4 Al 3.07
Al 0.2500 0.2500 0.7500  4 Ce 3.07, 4 Er 3.07
Rh 0.2500 0.2500 0.2500  4 Ce 3.07, 4 Er 3.07

The total magnetization comes out at 0.0756 μB/atom. As for the crystal system: cubic. The density comes out at 8.18 g/cm3. The electronic total energy is -93.9 eV/cell.


# 4
DFT (PBE) results for CeErScAl after structural relaxation.

a b c (Å): 7.3660 7.3660 7.3660
angles (deg): 90.00 90.00 90.00
With the nearest neighbours (Å) after each atom.
Space group F-43m (No. 216)
Symmetry-distinct sites (fractional):
Ce 0.0000 0.0000 0.0000  4 Al 3.19, 4 Sc 3.19
Er 0.0000 0.0000 0.5000  4 Sc 3.19, 4 Al 3.19
Sc 0.2500 0.2500 0.7500  4 Ce 3.19, 4 Er 3.19
Al 0.2500 0.2500 0.2500  4 Er 3.19, 4 Ce 3.19

The total magnetization comes out at 0.0816 μB/atom. As for the crystal system: cubic. The density comes out at 6.30 g/cm3. The electronic total energy is -83.7 eV/cell.


# 5
DFT (PBE) results for TbCeErAl after structural relaxation.

a b c (Å): 7.5307 7.5307 7.5307
angles (deg): 90.00 90.00 90.00
With the nearest neighbours (Å) after each atom.
Space group F-43m (No. 216)
Symmetry-distinct sites (fractional):
Tb 0.0000 0.0000 0.0000  4 Er 3.26, 4 Al 3.26
Ce 0.0000 0.0000 0.5000  4 Er 3.26, 4 Al 3.26
Er 0.2500 0.2500 0.2500  4 Tb 3.26, 4 Ce 3.26
Al 0.2500 0.2500 0.7500  4 Tb 3.26, 4 Ce 3.26

The total magnetization comes out at 0.0886 μB/atom. As for the crystal system: cubic. The density comes out at 7.67 g/cm3. The electronic total energy is -76.2 eV/cell.


# 6
DFT (PBE) results for CeErTiAl after structural relaxation.

a b c (Å): 7.2636 7.2636 7.2636
angles (deg): 90.00 90.00 90.00
With the nearest neighbours (Å) after each atom.
Space group F-43m (No. 216)
Symmetry-distinct sites (fractional):
Ce 0.0000 0.0000 0.0000  4 Ti 3.15, 4 Al 3.15
Er 0.0000 0.0000 0.5000  4 Al 3.15, 4 Ti 3.15
Ti 0.2500 0.2500 0.7500  4 Ce 3.15, 4 Er 3.15
Al 0.2500 0.2500 0.2500  4 Ce 3.15, 4 Er 3.15

The total magnetization comes out at 0.7873 μB/atom. As for the crystal system: cubic. The density comes out at 6.62 g/cm3. The electronic total energy is -89.0 eV/cell.